8
Lattice="4.934 2.849 2.719 -4.934 2.849 2.719 0.000 -5.697 2.719" Properties=species:S:1:pos:R:3 comment="BaCdCl6 (PBE, relaxed)" e_form_raw_mev_per_atom=-1104 sg=R-3m magnetic_moment_mub_per_cell=0.001 pbc="T T T"
Ba 0.000 0.000 0.000
Cd 0.000 0.000 4.079
Cl 0.000 -2.046 2.502
Cl -1.772 1.023 2.502
Cl -1.772 -1.023 5.655
Cl 1.772 1.023 2.502
Cl 1.772 -1.023 5.655
Cl 0.000 2.046 5.655